ScPbCl2 PBE optimized geometry; ρ = 4.3 g/cm3; raw total energy = -36.09 eV per cell; size of the total moment = 0.9 μB/cell; distance to the lowest polymorph of the same formula = 0.1987 eV per atom; D(E_F) = 5.54 states/eV/cell; symmetry = Cmmm (65); E_form (uncorrected) = -1078 meV/atom
1.0
3.443 0.000 0.000
0.000 6.145 0.000
0.000 0.000 11.719
Sc Pb Cl
2 2 4
direct
0.000 0.000 0.000
0.500 0.500 0.000
0.000 0.000 0.500
0.500 0.500 0.500
0.000 0.500 0.155
0.000 0.500 0.845
0.500 0.000 0.155
0.500 0.000 0.845


ScPbCl2 PBE optimized geometry; ρ = 4.6 g/cm3; raw total energy = -18.29 eV per cell; size of the total moment = 0.0 μB/cell; distance to the lowest polymorph of the same formula = 0.1364 eV per atom; D(E_F) = 2.53 states/eV/cell; symmetry = P4/mmm (123); E_form (uncorrected) = -1140 meV/atom
1.0
3.196 0.000 0.000
0.000 3.196 0.000
0.000 0.000 11.497
Sc Pb Cl
1 1 2
direct
0.000 0.000 0.000
0.000 0.000 0.500
0.500 0.500 0.133
0.500 0.500 0.867


Please write out number 2 again, unchanged.
ScPbCl2 PBE optimized geometry; ρ = 4.6 g/cm3; raw total energy = -18.29 eV per cell; size of the total moment = 0.0 μB/cell; distance to the lowest polymorph of the same formula = 0.1364 eV per atom; D(E_F) = 2.53 states/eV/cell; symmetry = P4/mmm (123); E_form (uncorrected) = -1140 meV/atom
1.0
3.196 0.000 0.000
0.000 3.196 0.000
0.000 0.000 11.497
Sc Pb Cl
1 1 2
direct
0.000 0.000 0.000
0.000 0.000 0.500
0.500 0.500 0.133
0.500 0.500 0.867


Among the records above, which one has the highest E_form (uncorrected)?
number 1


Look up the distance to the lowest polymorph of the same formula of the second one.
0.1364 eV per atom


The highest raw total energy belongs to which entry?
number 2